Here is La2Pr2SmY6 after structural relaxation from Alexandria. Energies are from PBE-GGA.

abc: 6.7534 6.7534 12.1443
angles: 101.69 101.69 129.46
With the nearest neighbours (Å) after each atom.
Fractional coordinates of all 11 atoms:
La: 0.2877 0.7123 0.5000  2 La 3.03, 2 Y 3.38
La: 0.7123 0.2877 0.5000  2 La 3.03, 2 Y 3.38
Pr: 0.8703 0.1297 0.0000  1 Pr 3.17, 2 Y 3.44
Pr: 0.1297 0.8703 0.0000  1 Pr 3.17, 2 Y 3.44
Sm: 0.0000 0.0000 0.5000  6 La 3.51-3.88, 8 Y 3.61-3.69
Y: 0.7027 0.7027 0.7028  2 La 3.38, 2 Pr 3.55, 4 Y 3.57, 2 Sm 3.61
Y: 0.1490 0.4493 0.7992  3 Pr 3.44-3.60, 5 Y 3.57-3.78, 1 La 3.61, 1 Sm 3.69
Y: 0.2973 0.2973 0.2972  2 La 3.38, 2 Pr 3.55, 4 Y 3.57, 2 Sm 3.61
Y: 0.4493 0.1490 0.7992  3 Pr 3.44-3.60, 5 Y 3.57-3.78, 1 La 3.61, 1 Sm 3.69
Y: 0.8510 0.5507 0.2008  3 Pr 3.44-3.60, 5 Y 3.57-3.78, 1 La 3.61, 1 Sm 3.69
Y: 0.5507 0.8510 0.2008  3 Pr 3.44-3.60, 5 Y 3.57-3.78, 1 La 3.61, 1 Sm 3.69

Summary:
Total DFT energy (no corrections) (hartree per atom): -0.205


Here is La3Pr6SmY2 after structural relaxation from Alexandria. Energies are from PBE-GGA.

abc: 6.4053 6.4053 12.2147
angles: 95.03 95.03 120.04
With the nearest neighbours (Å) after each atom.
Fractional coordinates of all 12 atoms:
La: 0.1669 0.8331 0.5000  6 La 3.69-3.70, 6 Pr 3.73
La: 0.8331 0.1669 0.5000  6 La 3.69-3.70, 6 Pr 3.73
La: 0.5000 0.5000 0.5000  6 La 3.70, 6 Pr 3.73
Pr: 0.9182 0.5850 0.7547  1 Sm 3.64, 2 Y 3.64, 6 Pr 3.69-3.70, 3 La 3.73
Pr: 0.7487 0.7487 0.2456  2 Y 3.64, 1 Sm 3.64, 6 Pr 3.69-3.70, 3 La 3.73
Pr: 0.0818 0.4150 0.2453  1 Sm 3.64, 2 Y 3.64, 6 Pr 3.69-3.70, 3 La 3.73
Pr: 0.5850 0.9182 0.7547  1 Sm 3.64, 2 Y 3.64, 6 Pr 3.69-3.70, 3 La 3.73
Pr: 0.2513 0.2513 0.7544  2 Y 3.64, 1 Sm 3.64, 6 Pr 3.69-3.70, 3 La 3.73
Pr: 0.4150 0.0818 0.2453  1 Sm 3.64, 2 Y 3.64, 6 Pr 3.69-3.70, 3 La 3.73
Sm: 0.0000 0.0000 0.0000  6 Pr 3.64, 6 Y 3.70
Y: 0.3334 0.6666 0.0000  6 Pr 3.64, 3 Sm 3.70, 3 Y 3.70
Y: 0.6666 0.3334 0.0000  6 Pr 3.64, 3 Sm 3.70, 3 Y 3.70

Summary:
Total DFT energy (no corrections) (hartree per atom): -0.187


Here is La2PrSm2Y6 after structural relaxation from Alexandria. Energies are from PBE-GGA.

abc: 8.7798 8.7798 9.9273
angles: 100.69 100.69 142.19
With the nearest neighbours (Å) after each atom.
Fractional coordinates of all 11 atoms:
La: 0.3271 0.6729 0.5000  8 Y 3.70-3.97, 2 La 3.83, 2 Pr 4.04, 2 Sm 4.08
La: 0.6729 0.3271 0.5000  8 Y 3.70-3.97, 2 La 3.83, 2 Pr 4.04, 2 Sm 4.08
Pr: 0.0000 0.0000 0.5000  4 Y 3.23
Sm: 0.8113 0.1887 0.0000  8 Y 3.41-3.59, 2 Sm 3.50
Sm: 0.1887 0.8113 0.0000  8 Y 3.41-3.59, 2 Sm 3.50
Y: 0.7853 0.7853 0.7858  5 Y 3.49-3.61, 2 Sm 3.59, 2 Pr 3.67-3.68, 2 La 3.70
Y: 0.1525 0.4208 0.7871  1 Pr 3.23, 3 Sm 3.41-3.45, 3 Y 3.47-3.61
Y: 0.2147 0.2147 0.2142  5 Y 3.49-3.61, 2 Sm 3.59, 2 Pr 3.67-3.68, 2 La 3.70
Y: 0.4208 0.1525 0.7871  1 Pr 3.23, 3 Sm 3.41-3.45, 3 Y 3.47-3.61
Y: 0.8475 0.5792 0.2129  1 Pr 3.23, 3 Sm 3.41-3.45, 3 Y 3.47-3.61
Y: 0.5792 0.8475 0.2129  1 Pr 3.23, 3 Sm 3.41-3.45, 3 Y 3.47-3.61

Summary:
Total DFT energy (no corrections) (hartree per atom): -0.205


Here is La2PrSm5Y after structural relaxation from Alexandria. Energies are from PBE-GGA.

abc: 8.8088 8.8088 10.2013
angles: 115.58 115.58 90.00
With the nearest neighbours (Å) after each atom.
Fractional coordinates of all 18 atoms:
La: 0.1184 0.3816 0.0000  1 La 2.95, 2 Sm 3.07
La: 0.6184 0.1184 0.0000  1 La 2.95, 2 Sm 3.07
La: 0.3816 0.8816 0.0000  1 La 2.95, 2 Sm 3.07
La: 0.8816 0.6184 0.0000  1 La 2.95, 2 Sm 3.07
Pr: 0.2500 0.2500 0.5000  8 Sm 3.60
Pr: 0.7500 0.7500 0.5000  8 Sm 3.60
Sm: 0.9240 0.4240 0.2820  1 La 3.07, 1 Y 3.23
Sm: 0.6420 0.1420 0.7180  1 La 3.07, 1 Y 3.23
Sm: 0.0760 0.5760 0.7180  1 La 3.07, 1 Y 3.23
Sm: 0.1420 0.0760 0.7180  1 La 3.07, 1 Y 3.23
Sm: 0.5760 0.6420 0.7180  1 La 3.07, 1 Y 3.23
Sm: 0.8580 0.9240 0.2820  1 La 3.07, 1 Y 3.23
Sm: 0.4240 0.3580 0.2820  1 La 3.07, 1 Y 3.23
Sm: 0.3580 0.8580 0.2820  1 La 3.07, 1 Y 3.23
Sm: 0.5000 0.5000 0.0000  4 La 3.52, 8 Sm 3.88
Sm: 0.0000 0.0000 0.0000  4 La 3.52, 8 Sm 3.88
Y: 0.2500 0.7500 0.5000  4 Sm 3.23
Y: 0.7500 0.2500 0.5000  4 Sm 3.23

Summary:
Total DFT energy (no corrections) (hartree per atom): -0.173


Here is La2Pr4Sm2Y after structural relaxation from Alexandria. Energies are from PBE-GGA.

abc: 3.7225 9.8233 9.8909
angles: 115.14 90.00 100.92
With the nearest neighbours (Å) after each atom.
Fractional coordinates of all 9 atoms:
La: 0.3341 0.6682 0.0015  3 Sm 3.65-3.67, 3 Pr 3.65-3.67, 2 Y 3.71, 4 La 3.72-3.73
La: 0.6659 0.3318 0.9985  3 Sm 3.65-3.67, 3 Pr 3.65-3.67, 2 Y 3.71, 4 La 3.72-3.73
Pr: 0.8147 0.6294 0.6673  1 Y 3.66, 2 La 3.67, 6 Pr 3.67-3.72, 3 Sm 3.68-3.71
Pr: 0.1853 0.3706 0.3327  1 Y 3.66, 2 La 3.67, 6 Pr 3.67-3.72, 3 Sm 3.68-3.71
Pr: 0.5183 0.0366 0.3334  1 La 3.65, 5 Pr 3.66-3.72, 2 Y 3.67, 4 Sm 3.68-3.71
Pr: 0.4817 0.9634 0.6666  1 La 3.65, 5 Pr 3.66-3.72, 2 Y 3.67, 4 Sm 3.68-3.71
Sm: 0.8517 0.7034 0.3320  3 La 3.65-3.67, 7 Pr 3.68-3.71, 2 Sm 3.72
Sm: 0.1483 0.2966 0.6680  3 La 3.65-3.67, 7 Pr 3.68-3.71, 2 Sm 3.72
Y: 0.0000 0.0000 0.0000  6 Pr 3.66-3.67, 4 La 3.71, 2 Y 3.72

Summary:
Total DFT energy (no corrections) (hartree per atom): -0.183


Here is La2Pr5SmY after structural relaxation from Alexandria. Energies are from PBE-GGA.

abc: 8.7954 8.7954 10.4323
angles: 114.93 114.93 90.00
With the nearest neighbours (Å) after each atom.
Fractional coordinates of all 18 atoms:
La: 0.1206 0.3794 0.0000  1 La 3.00, 2 Pr 3.11
La: 0.6206 0.1206 0.0000  1 La 3.00, 2 Pr 3.11
La: 0.3794 0.8794 0.0000  1 La 3.00, 2 Pr 3.11
La: 0.8794 0.6206 0.0000  1 La 3.00, 2 Pr 3.11
Pr: 0.9229 0.4229 0.2871  1 La 3.11, 1 Y 3.27
Pr: 0.6358 0.1358 0.7129  1 La 3.11, 1 Y 3.27
Pr: 0.0771 0.5771 0.7129  1 La 3.11, 1 Y 3.27
Pr: 0.1358 0.0771 0.7129  1 La 3.11, 1 Y 3.27
Pr: 0.5771 0.6358 0.7129  1 La 3.11, 1 Y 3.27
Pr: 0.8642 0.9229 0.2871  1 La 3.11, 1 Y 3.27
Pr: 0.4229 0.3642 0.2871  1 La 3.11, 1 Y 3.27
Pr: 0.3642 0.8642 0.2871  1 La 3.11, 1 Y 3.27
Pr: 0.5000 0.5000 0.0000  4 La 3.50
Pr: 0.0000 0.0000 0.0000  4 La 3.50
Sm: 0.2500 0.2500 0.5000  8 Pr 3.60
Sm: 0.7500 0.7500 0.5000  8 Pr 3.60
Y: 0.2500 0.7500 0.5000  4 Pr 3.27
Y: 0.7500 0.2500 0.5000  4 Pr 3.27

Summary:
Total DFT energy (no corrections) (hartree per atom): -0.175


Here is La2PrSmY2 after structural relaxation from Alexandria. Energies are from PBE-GGA.

abc: 3.4544 6.6564 18.6402
angles: 90.00 90.00 90.00
With the nearest neighbours (Å) after each atom.
Fractional coordinates of all 12 atoms:
La: 0.5000 0.2832 0.3114  4 Y 3.40-3.55, 2 La 3.45, 1 Pr 3.80
La: 0.0000 0.7832 0.1886  4 Y 3.40-3.55, 2 La 3.45, 1 Pr 3.80
La: 0.5000 0.7168 0.6886  4 Y 3.40-3.55, 2 La 3.45, 1 Pr 3.80
La: 0.0000 0.2168 0.8114  4 Y 3.40-3.55, 2 La 3.45, 1 Pr 3.80
Pr: 0.0000 0.0000 0.0000  2 Y 3.31, 2 Pr 3.45
Pr: 0.5000 0.5000 0.5000  2 Y 3.31, 2 Pr 3.45
Sm: 0.5000 0.5000 0.0000  2 Sm 3.45, 4 Y 3.51, 4 Pr 3.75
Sm: 0.0000 0.0000 0.5000  2 Sm 3.45, 4 Y 3.51, 4 Pr 3.75
Y: 0.5000 0.7865 0.3550  1 Pr 3.31, 4 La 3.40-3.55, 2 Y 3.45, 2 Sm 3.51
Y: 0.5000 0.2135 0.6450  1 Pr 3.31, 4 La 3.40-3.55, 2 Y 3.45, 2 Sm 3.51
Y: 0.0000 0.7135 0.8550  1 Pr 3.31, 4 La 3.40-3.55, 2 Y 3.45, 2 Sm 3.51
Y: 0.0000 0.2865 0.1450  1 Pr 3.31, 4 La 3.40-3.55, 2 Y 3.45, 2 Sm 3.51

Summary:
Total DFT energy (no corrections) (hartree per atom): -0.188


Here is LaPr2Sm2Y after structural relaxation from Alexandria. Energies are from PBE-GGA.

abc: 5.8055 7.1618 10.0297
angles: 90.00 90.00 90.00
With the nearest neighbours (Å) after each atom.
Fractional coordinates of all 12 atoms:
La: 0.5000 0.2576 0.6595  5 Sm 3.31-3.59
La: 0.5000 0.7576 0.3405  5 Sm 3.31-3.59
Pr: 0.5000 0.0077 0.9997  6 Pr 3.58-3.83, 6 Sm 3.76-3.79, 2 La 3.85-3.86
Pr: 0.0000 0.2576 0.1742  5 Sm 3.29-3.58
Pr: 0.5000 0.5077 0.0003  6 Pr 3.58-3.83, 6 Sm 3.76-3.79, 2 La 3.85-3.86
Pr: 0.0000 0.7576 0.8258  5 Sm 3.29-3.58
Sm: 0.0000 0.2579 0.8359  7 Pr 3.39-3.79, 2 La 3.40
Sm: 0.5000 0.2573 0.3294  2 Pr 3.29, 3 La 3.31-3.59
Sm: 0.0000 0.7579 0.1641  7 Pr 3.39-3.79, 2 La 3.40
Sm: 0.5000 0.7573 0.6706  2 Pr 3.29, 3 La 3.31-3.59
Y: 0.0000 0.0075 0.5002  2 Y 3.58, 2 Pr 3.72-3.73, 4 La 3.77, 6 Sm 3.81-3.82
Y: 0.0000 0.5075 0.4998  2 Y 3.58, 2 Pr 3.72-3.73, 4 La 3.77, 6 Sm 3.81-3.82

Summary:
Total DFT energy (no corrections) (hartree per atom): -0.184


Here is LaPrSm3Y after structural relaxation from Alexandria. Energies are from PBE-GGA.

abc: 5.1841 8.1606 10.9537
angles: 116.61 90.00 90.00
With the nearest neighbours (Å) after each atom.
Fractional coordinates of all 12 atoms:
La: 0.7500 0.8742 0.7101  8 Sm 3.62-3.68, 3 Pr 3.67-3.69, 1 Y 3.69
La: 0.2500 0.1258 0.2899  8 Sm 3.62-3.68, 3 Pr 3.67-3.69, 1 Y 3.69
Pr: 0.2500 0.1273 0.6271  5 Sm 3.63-3.68, 2 Y 3.66, 3 La 3.67-3.69, 2 Pr 3.69
Pr: 0.7500 0.8727 0.3729  5 Sm 3.63-3.68, 2 Y 3.66, 3 La 3.67-3.69, 2 Pr 3.69
Sm: 0.2500 0.6228 0.4565  3 La 3.63-3.68, 1 Y 3.64, 5 Sm 3.65-3.68, 3 Pr 3.66-3.68
Sm: 0.7500 0.8719 0.0402  3 Y 3.59-3.67, 3 La 3.62-3.66, 5 Sm 3.64-3.68, 1 Pr 3.64
Sm: 0.7500 0.3751 0.2070  1 Pr 3.63, 3 Y 3.63, 6 Sm 3.64-3.68, 2 La 3.65
Sm: 0.7500 0.3772 0.5435  3 La 3.63-3.68, 1 Y 3.64, 5 Sm 3.65-3.68, 3 Pr 3.66-3.68
Sm: 0.2500 0.6249 0.7930  1 Pr 3.63, 3 Y 3.63, 6 Sm 3.64-3.68, 2 La 3.65
Sm: 0.2500 0.1281 0.9598  3 Y 3.59-3.67, 3 La 3.62-3.66, 5 Sm 3.64-3.68, 1 Pr 3.64
Y: 0.2500 0.6196 0.1228  7 Sm 3.59-3.67, 2 Y 3.61, 2 Pr 3.66, 1 La 3.69
Y: 0.7500 0.3804 0.8772  7 Sm 3.59-3.67, 2 Y 3.61, 2 Pr 3.66, 1 La 3.69

Summary:
Total DFT energy (no corrections) (hartree per atom): -0.185


Here is La3PrSmY after structural relaxation from Alexandria. Energies are from PBE-GGA.

abc: 5.2515 8.1950 11.0448
angles: 115.96 90.00 90.00
With the nearest neighbours (Å) after each atom.
Fractional coordinates of all 12 atoms:
La: 0.2500 0.6276 0.4587  3 Sm 3.67, 1 Y 3.68, 5 La 3.70-3.72, 3 Pr 3.70-3.72
La: 0.7500 0.8747 0.0427  3 Y 3.67-3.69, 1 Sm 3.68, 5 La 3.70-3.72, 3 Pr 3.70-3.71
La: 0.7500 0.3775 0.2078  3 Y 3.66-3.68, 1 Sm 3.66, 6 La 3.70-3.72, 2 Pr 3.72
La: 0.7500 0.3724 0.5413  3 Sm 3.67, 1 Y 3.68, 5 La 3.70-3.72, 3 Pr 3.70-3.72
La: 0.2500 0.6225 0.7922  3 Y 3.66-3.68, 1 Sm 3.66, 6 La 3.70-3.72, 2 Pr 3.72
La: 0.2500 0.1253 0.9573  3 Y 3.67-3.69, 1 Sm 3.68, 5 La 3.70-3.72, 3 Pr 3.70-3.71
Pr: 0.7500 0.8770 0.7077  3 Sm 3.66-3.68, 1 Y 3.66, 8 La 3.70-3.72
Pr: 0.2500 0.1230 0.2923  3 Sm 3.66-3.68, 1 Y 3.66, 8 La 3.70-3.72
Sm: 0.2500 0.1252 0.6245  3 Pr 3.66-3.68, 5 La 3.66-3.68, 2 Sm 3.71, 2 Y 3.71
Sm: 0.7500 0.8748 0.3755  3 Pr 3.66-3.68, 5 La 3.66-3.68, 2 Sm 3.71, 2 Y 3.71
Y: 0.2500 0.6261 0.1248  7 La 3.66-3.69, 1 Pr 3.66, 2 Sm 3.71, 2 Y 3.71
Y: 0.7500 0.3739 0.8752  7 La 3.66-3.69, 1 Pr 3.66, 2 Sm 3.71, 2 Y 3.71

Summary:
Total DFT energy (no corrections) (hartree per atom): -0.187